*i*
VASP calculation (GGA-PBE) on crystalline Mo2AsS at its relaxed geometry.

## Properties
Total magnetization: 0.0 Bohr magnetons per cell
Crystal system: tetragonal

```
Mo2AsS
1.0
-0.753 -0.361 4.449
-1.499 -4.229 -0.597
5.614 -4.817 2.862
Mo S As
4 2 2
Direct
0.582 0.125 0.250
0.168 0.625 0.250
0.375 0.418 0.750
0.875 0.832 0.750
0.500 0.500 0.000
0.250 0.750 0.500
0.000 0.000 0.000
0.750 0.250 0.500
```


*ii*
VASP calculation (GGA-PBE) on crystalline Mo2AsS at its relaxed geometry.

## Properties
Total magnetization: 0.0 Bohr magnetons per cell
Crystal system: cubic

```
Mo2AsS
1.0
-3.463 2.130 1.556
-1.564 3.461 -2.128
-3.823 -0.260 -2.065
S Mo As
1 2 1
Direct
0.000 0.000 0.000
0.750 0.750 0.750
0.250 0.250 0.250
0.500 0.500 0.500
```


Most stable = *ii*